Entry 1:
First-principles (GGA-PBE) data for a relaxed LaFeB4 crystal, as listed in OQMD via LeMat-Bulk.

Output
**Raw total energy**: -6.46 eV per atom

Cell lengths 5.0220, 5.0220, 5.0220 Å; angles 143.90, 115.22, 76.46 degrees
Each line ends with the local moment (μB).
Fractional positions:
1 B 0.5942 0.2565 0.3377  0.00
2 B 0.4058 0.7435 0.6623  0.00
3 La 0.5000 0.5000 0.0000  0.00
4 Fe 0.0000 0.0000 0.0000  -0.20
5 B 0.0812 0.7435 0.3377  0.00
6 B 0.9188 0.2565 0.6623  0.00

---

Entry 2:
First-principles (GGA-PBE) data for a relaxed BeInFeNi crystal, as listed in OQMD via LeMat-Bulk.

Output
**Raw total energy**: -4.91 eV per atom

Cell lengths 4.1256, 4.1256, 4.1256 Å; angles 60.00, 60.00, 60.00 degrees
Each line ends with the local moment (μB).
Fractional positions:
1 Fe 0.0000 0.0000 0.0000  1.53
2 In 0.2500 0.2500 0.2500  -0.05
3 Ni 0.5000 0.5000 0.5000  -0.03
4 Be 0.7500 0.7500 0.7500  -0.05

---

Entry 3:
First-principles (GGA-PBE) data for a relaxed PaCdPO crystal, as listed in OQMD via LeMat-Bulk.

Output
**Raw total energy**: -5.95 eV per atom

Cell lengths 4.0828, 6.0729, 6.5189 Å; angles 90.00, 90.00, 90.00 degrees
Each line ends with the local moment (μB).
Fractional positions:
1 P 0.0000 0.9584 0.3052  -0.02
2 Pa 0.5000 0.2399 0.0717  0.98
3 Cd 0.0000 0.6645 0.0197  -0.02
4 O 0.5000 0.5329 0.8574  -0.03
5 Cd 0.0000 0.3355 0.5197  -0.02
6 O 0.5000 0.4671 0.3574  -0.03
7 P 0.0000 0.0416 0.8052  -0.02
8 Pa 0.5000 0.7601 0.5717  0.99

---

Entry 4:
First-principles (GGA-PBE) data for a relaxed PmTe2 crystal, as listed in OQMD via LeMat-Bulk.

Output
**Raw total energy**: -4.92 eV per atom

Cell lengths 9.0942, 4.4878, 8.9882 Å; angles 90.00, 90.01, 90.00 degrees
Fractional positions:
1 Te 0.0006 0.7489 0.8750
2 Pm 0.7285 0.7506 0.1249
3 Pm 0.7285 0.7494 0.6249
4 Te 0.0006 0.7511 0.3750
5 Te 0.3703 0.7501 0.1250
6 Te 0.9994 0.2511 0.1250
7 Te 0.3703 0.7499 0.6250
8 Pm 0.2715 0.2494 0.8751
9 Te 0.6297 0.2499 0.8750
10 Te 0.9994 0.2489 0.6250
11 Te 0.6297 0.2501 0.3750
12 Pm 0.2715 0.2506 0.3751

---

Entry 5:
First-principles (GGA-PBE) data for a relaxed PuAgHg crystal, as listed in OQMD via LeMat-Bulk.

Output
**Formation energy from the elements**: 72 meV per atom

Cell lengths 4.8877, 4.8877, 4.8877 Å; angles 60.00, 60.00, 60.00 degrees
Each line ends with the local moment (μB).
Fractional positions:
1 Ag 0.0000 0.0000 0.0000  0.03
2 Hg 0.2500 0.2500 0.2500  0.04
3 Pu 0.7500 0.7500 0.7500  5.54

---

Entry 6:
First-principles (GGA-PBE) data for a relaxed PuPSe4 crystal, as listed in OQMD via LeMat-Bulk.

Output
**Raw total energy**: -6.25 eV per atom

Cell lengths 6.7196, 6.8327, 8.1687 Å; angles 88.78, 86.65, 84.37 degrees
Each line ends with the local moment (μB).
Fractional positions:
1 Se 0.4195 0.7609 0.3491  -0.04
2 Se 0.8872 0.9991 0.2276  -0.05
3 Pu 0.2074 0.7187 0.0528  5.12
4 Pu 0.7926 0.2813 0.9472  5.12
5 Se 0.1128 0.0009 0.7724  -0.05
6 P 0.3035 0.2495 0.8062  0.02
7 Se 0.3667 0.2661 0.0731  -0.05
8 Se 0.0857 0.5131 0.7597  -0.07
9 P 0.6965 0.7505 0.1938  0.02
10 Se 0.9143 0.4869 0.2403  -0.07
11 Se 0.5805 0.2391 0.6509  -0.04
12 Se 0.6333 0.7339 0.9269  -0.05

---

Entry 7:
First-principles (GGA-PBE) data for a relaxed LuBiPO crystal, as listed in OQMD via LeMat-Bulk.

Output
**Raw total energy**: -6.03 eV per atom

Cell lengths 3.8348, 8.1841, 5.8111 Å; angles 90.00, 90.00, 90.00 degrees
Fractional positions:
1 P 0.0000 0.6763 0.9350
2 Bi 0.5000 0.9051 0.9527
3 P 0.0000 0.3237 0.4350
4 Lu 0.0000 0.3417 0.9354
5 O 0.5000 0.7494 0.4309
6 O 0.5000 0.2506 0.9309
7 Lu 0.0000 0.6583 0.4354
8 Bi 0.5000 0.0949 0.4527

---

Entry 8:
First-principles (GGA-PBE) data for a relaxed YReHg2 crystal, as listed in OQMD via LeMat-Bulk.

Output
**Formation energy from the elements**: 575 meV per atom

Cell lengths 4.9215, 4.9215, 4.9215 Å; angles 60.00, 60.00, 60.00 degrees
Fractional positions:
1 Y 0.5000 0.5000 0.5000
2 Hg 0.2500 0.2500 0.2500
3 Re 0.7500 0.7500 0.7500
4 Hg 0.0000 0.0000 0.0000

---

Entry 9:
First-principles (GGA-PBE) data for a relaxed LuCuSnW crystal, as listed in OQMD via LeMat-Bulk.

Output
**Raw total energy**: -5.92 eV per atom

Cell lengths 4.7314, 4.7314, 4.7314 Å; angles 60.00, 60.00, 60.00 degrees
Fractional positions:
1 Lu 0.5000 0.5000 0.5000
2 Cu 0.7500 0.7500 0.7500
3 Sn 0.0000 0.0000 0.0000
4 W 0.2500 0.2500 0.2500

---

Entry 10:
First-principles (GGA-PBE) data for a relaxed Li4AlZn2Pd crystal, as listed in OQMD via LeMat-Bulk.

Output
**Raw total energy**: -2.69 eV per atom

Cell lengths 4.3078, 4.3078, 6.1486 Å; angles 90.00, 90.00, 90.00 degrees
Fractional positions:
1 Zn 0.0000 0.5000 0.2535
2 Al 0.0000 0.0000 0.0000
3 Zn 0.5000 0.0000 0.7465
4 Li 0.5000 0.5000 0.0000
5 Li 0.5000 0.0000 0.2641
6 Li 0.0000 0.0000 0.5000
7 Li 0.0000 0.5000 0.7359
8 Pd 0.5000 0.5000 0.5000

---

Entry 11:
First-principles (GGA-PBE) data for a relaxed Ta4Nb2Ni3C3 crystal, as listed in OQMD via LeMat-Bulk.

Output
**Raw total energy**: -9.65 eV per atom

Cell lengths 5.3486, 5.3486, 13.5139 Å; angles 101.60, 101.60, 59.80 degrees
Fractional positions:
1 C 0.8275 0.3362 0.0001
2 C 0.0000 0.5000 0.5000
3 Ta 0.7981 0.9745 0.9093
4 Ni 0.4142 0.1087 0.7500
5 Ni 0.1087 0.4142 0.2500
6 Ni 0.5858 0.8913 0.2500
7 Nb 0.3766 0.5365 0.6102
8 Nb 0.5365 0.3766 0.1102
9 Ta 0.3036 0.1398 0.4091
10 Ta 0.6964 0.8602 0.5909
11 C 0.5000 0.0000 0.0000
12 Ta 0.2019 0.0255 0.0907
13 Ta 0.8602 0.6964 0.0909
14 C 0.6638 0.1725 0.4999
15 Ni 0.8913 0.5858 0.7500
16 Nb 0.4635 0.6234 0.8898
17 Ta 0.1398 0.3036 0.9091
18 Ta 0.9745 0.7981 0.4093
19 Nb 0.6234 0.4635 0.3898
20 C 0.1725 0.6638 0.9999
21 C 0.3362 0.8275 0.5001
22 Ta 0.0255 0.2019 0.5907
23 Ni 0.0671 0.9329 0.2500
24 Ni 0.9329 0.0671 0.7500

---

Entry 12:
First-principles (GGA-PBE) data for a relaxed ErPbNO crystal, as listed in OQMD via LeMat-Bulk.

Output
**Raw total energy**: -6.91 eV per atom

Cell lengths 5.7455, 8.2446, 5.6884 Å; angles 90.00, 90.00, 90.00 degrees
Fractional positions:
1 Er 0.9944 0.3826 0.4677
2 Er 0.5056 0.3826 0.9677
3 N 0.4216 0.1242 0.0521
4 N 0.9216 0.8758 0.0521
5 Er 0.4944 0.6174 0.4677
6 N 0.0784 0.1242 0.5521
7 N 0.5784 0.8758 0.5521
8 Pb 0.4799 0.1339 0.4667
9 O 0.2475 0.4942 0.2159
10 Er 0.0056 0.6174 0.9677
11 Pb 0.5201 0.8661 0.9667
12 O 0.7475 0.5058 0.2159
13 O 0.7525 0.5058 0.7159
14 Pb 0.9799 0.8661 0.4667
15 Pb 0.0201 0.1339 0.9667
16 O 0.2525 0.4942 0.7159

---

Entry 13:
First-principles (GGA-PBE) data for a relaxed Sc2Ni3Mo4C3 crystal, as listed in OQMD via LeMat-Bulk.

Output
**Raw total energy**: -8.62 eV per atom

Cell lengths 5.2818, 5.2818, 13.4424 Å; angles 101.92, 101.92, 60.01 degrees
Fractional positions:
1 Mo 0.8524 0.6945 0.0847
2 Ni 0.0787 0.9213 0.2500
3 Ni 0.9025 0.5869 0.7518
4 Mo 0.6945 0.8524 0.5847
5 C 0.6662 0.1668 0.4999
6 Ni 0.4131 0.0975 0.7482
7 Mo 0.9840 0.7933 0.4153
8 C 0.8332 0.3338 0.0001
9 Ni 0.9213 0.0787 0.7500
10 Sc 0.5428 0.3786 0.1216
11 C 0.3338 0.8332 0.5001
12 Mo 0.1476 0.3055 0.9153
13 Mo 0.0160 0.2067 0.5847
14 Sc 0.3786 0.5428 0.6216
15 C 0.1668 0.6662 0.9999
16 Sc 0.6214 0.4572 0.3784
17 Ni 0.0975 0.4131 0.2482
18 C 0.0000 0.5000 0.5000
19 C 0.5000 0.0000 0.0000
20 Mo 0.3055 0.1476 0.4153
21 Ni 0.5869 0.9025 0.2518
22 Mo 0.2067 0.0160 0.0847
23 Mo 0.7933 0.9840 0.9153
24 Sc 0.4572 0.6214 0.8784

---

Entry 14:
First-principles (GGA-PBE) data for a relaxed SmDyNi2C4 crystal, as listed in OQMD via LeMat-Bulk.

Output
**Raw total energy**: -7.37 eV per atom

Cell lengths 3.5909, 3.5909, 7.4156 Å; angles 90.00, 90.00, 90.00 degrees
Fractional positions:
1 Ni 0.5000 0.0000 0.0022
2 Dy 0.0000 0.0000 0.3317
3 C 0.0000 0.0000 0.8439
4 C 0.5000 0.5000 0.3377
5 Ni 0.0000 0.5000 0.0022
6 Sm 0.5000 0.5000 0.6724
7 C 0.5000 0.5000 0.1521
8 C 0.0000 0.0000 0.6578

---

Entry 15:
First-principles (GGA-PBE) data for a relaxed Nb4SnTeC2 crystal, as listed in OQMD via LeMat-Bulk.

Output
**Raw total energy**: -8.63 eV per atom

Cell lengths 3.3417, 3.3417, 13.4434 Å; angles 90.00, 90.00, 120.00 degrees
Fractional positions:
1 Nb 0.3333 0.6667 0.3373
2 Nb 0.0000 0.0000 0.8292
3 C 0.6667 0.3333 0.2539
4 Nb 0.3333 0.6667 0.6627
5 C 0.6667 0.3333 0.7461
6 Te 0.0000 0.0000 0.5000
7 Sn 0.3333 0.6667 0.0000
8 Nb 0.0000 0.0000 0.1708

---

Entry 16:
First-principles (GGA-PBE) data for a relaxed HoTc2B2 crystal, as listed in OQMD via LeMat-Bulk.

Output
**Raw total energy**: -8.07 eV per atom

Cell lengths 5.5278, 5.5278, 5.5278 Å; angles 141.12, 141.12, 56.16 degrees
Fractional positions:
1 B 0.4022 0.4022 0.0000
2 Ho 0.0000 0.0000 0.0000
3 Tc 0.7500 0.2500 0.5000
4 B 0.5978 0.5978 0.0000
5 Tc 0.2500 0.7500 0.5000

---

Entry 17:
First-principles (GGA-PBE) data for a relaxed GdZnPO crystal, as listed in OQMD via LeMat-Bulk.

Output
**Raw total energy**: -5.71 eV per atom

Cell lengths 4.2713, 6.1338, 5.7924 Å; angles 90.00, 90.00, 90.00 degrees
Fractional positions:
1 Zn 0.5000 0.1486 0.5225
2 Gd 0.0000 0.2622 0.9252
3 Zn 0.5000 0.8514 0.0225
4 P 0.0000 0.7234 0.9192
5 O 0.5000 0.1624 0.8871
6 O 0.5000 0.8376 0.3871
7 Gd 0.0000 0.7378 0.4252
8 P 0.0000 0.2766 0.4192

---

Entry 18:
First-principles (GGA-PBE) data for a relaxed DyTm2Al3AgIr2 crystal, as listed in OQMD via LeMat-Bulk.

Output
**Raw total energy**: -5.77 eV per atom

Cell lengths 4.0042, 7.1286, 7.1286 Å; angles 120.40, 90.00, 90.00 degrees
Fractional positions:
1 Ir 0.5000 0.3322 0.6700
2 Ag 0.0000 0.9968 0.9968
3 Al 0.5000 0.7404 0.7404
4 Tm 0.0000 0.0003 0.5822
5 Al 0.5000 0.2597 0.0000
6 Ir 0.5000 0.6700 0.3322
7 Al 0.5000 0.0000 0.2597
8 Tm 0.0000 0.5822 0.0003
9 Dy 0.0000 0.4184 0.4184

---

Entry 19:
First-principles (GGA-PBE) data for a relaxed NdAlPb2O5 crystal, as listed in OQMD via LeMat-Bulk.

Output
**Raw total energy**: -6.72 eV per atom

Cell lengths 7.4328, 5.9733, 7.4585 Å; angles 90.00, 119.16, 90.00 degrees
Fractional positions:
1 O 0.5219 0.0145 0.5159
2 Al 0.8492 0.7254 0.1707
3 O 0.8980 0.4345 0.1952
4 Nd 0.1982 0.2378 0.3429
5 Pb 0.6720 0.2341 0.3493
6 Al 0.1508 0.2254 0.8293
7 Pb 0.3280 0.7341 0.6507
8 O 0.0911 0.8670 0.2709
9 O 0.2716 0.3084 0.6842
10 Pb 0.3478 0.7335 0.1700
11 O 0.9090 0.3670 0.7291
12 O 0.4781 0.5145 0.4841
13 O 0.7284 0.8084 0.3158
14 O 0.6945 0.7966 0.9064
15 O 0.3055 0.2966 0.0936
16 O 0.1020 0.9345 0.8048
17 Pb 0.6522 0.2335 0.8300
18 Nd 0.8018 0.7378 0.6571

---

Entry 20:
First-principles (GGA-PBE) data for a relaxed KGdB4 crystal, as listed in OQMD via LeMat-Bulk.

Output
**Raw total energy**: -5.34 eV per atom

Cell lengths 5.7047, 5.7047, 5.7047 Å; angles 148.33, 94.33, 94.21 degrees
Fractional positions:
1 B 0.4781 0.7429 0.7352
2 B 0.5219 0.2571 0.2648
3 K 0.5000 0.5000 0.0000
4 B 0.0078 0.7429 0.2648
5 Gd 0.0000 0.0000 0.0000
6 B 0.9922 0.2571 0.7352